No. 1
12
Lattice="3.931 0.000 0.000 0.000 7.918 0.280 -1.966 -2.286 8.276" Properties=species:S:1:pos:R:3 comment="Sm2Y3HoS6 | Alexandria via LeMat-Bulk | PBE | optimized geometry" e_form_raw_kj_per_mol_fu=-2318 crystal_system=monoclinic pbc="T T T"
Sm 1.966 3.743 5.689
Sm 0.000 1.889 2.867
Y 1.966 3.959 0.140
Y 1.966 -0.191 5.533
Y 0.000 5.823 3.023
Ho 1.966 0.000 0.000
S 0.000 5.782 5.804
S 1.966 3.907 2.883
S 1.966 -0.149 2.751
S 1.966 -0.327 8.305
S 0.000 5.959 0.251
S 0.000 1.725 5.672

=====

No. 2
12
Lattice="6.801 -0.013 -0.001 -3.410 5.885 -0.001 -1.132 -1.960 6.401" Properties=species:S:1:pos:R:3 comment="SmY3Ho2S6 | Alexandria via LeMat-Bulk | PBE | optimized geometry" e_form_raw_kj_per_mol_fu=-2311 crystal_system=monoclinic pbc="T T T"
Sm 0.000 0.000 0.000
Y -2.311 3.943 3.200
Y 4.570 -0.031 3.200
Y 1.130 1.956 3.200
Ho 0.000 3.915 -0.001
Ho 3.391 1.956 -0.001
S 3.421 1.908 4.790
S 2.236 3.872 1.592
S -1.162 2.003 1.609
S -0.057 3.917 4.790
S 0.023 0.039 4.807
S 2.316 -0.006 1.609

=====

No. 3
15
Lattice="-4.622 -3.918 5.044 3.711 -3.879 -5.774 4.148 2.932 6.078" Properties=species:S:1:pos:R:3 comment="Sm3Y3HoS8 | Alexandria via LeMat-Bulk | PBE | optimized geometry" e_form_raw_kj_per_mol_fu=-2978 crystal_system=trigonal pbc="T T T"
Sm 0.000 0.000 0.000
Sm 1.855 -1.940 -2.887
Sm -0.456 -3.899 -0.365
Y -0.237 -0.493 5.561
Y 1.618 -2.433 2.674
Y 3.929 -0.474 0.152
Ho 2.074 1.466 3.039
S 1.779 -2.194 -0.074
S 1.458 -2.671 5.423
S -0.531 -4.155 2.447
S 3.768 -0.710 2.901
S -2.389 -2.214 5.338
S 5.625 -2.652 0.011
S -0.075 -0.252 2.813
S 3.312 -4.613 2.536

=====

No. 4
16
Lattice="7.853 0.000 0.000 0.000 7.895 0.024 -3.927 -3.922 5.555" Properties=species:S:1:pos:R:3 comment="Sm3YHo4S8 | Alexandria via LeMat-Bulk | PBE | optimized geometry" e_form_raw_kj_per_mol_fu=-3077 crystal_system=trigonal pbc="T T T"
Sm 3.927 3.947 0.012
Sm 1.963 1.986 2.790
Sm -1.963 1.986 2.790
Y 0.000 3.947 0.012
Ho 3.927 0.000 0.000
Ho 1.963 -1.961 2.778
Ho 0.000 0.000 0.000
Ho -1.963 -1.961 2.778
S 1.941 5.964 0.065
S 0.000 4.026 2.811
S 0.000 -0.055 2.736
S 5.913 5.964 0.065
S -1.986 -1.992 5.515
S 3.927 4.027 2.843
S 3.927 -0.054 2.769
S 1.986 -1.992 5.515

=====

No. 5
16
Lattice="-3.230 5.364 -4.715 -2.724 -5.706 -4.626 -1.688 -0.016 7.655" Properties=species:S:1:pos:R:3 comment="SmY4Ho3S8 | Alexandria via LeMat-Bulk | PBE | optimized geometry" e_form_raw_kj_per_mol_fu=-3065 crystal_system=trigonal pbc="T T T"
Sm -1.362 -2.853 -2.313
Y -1.615 2.682 -2.357
Y -2.459 2.674 1.470
Y 0.000 0.000 0.000
Y -0.844 -0.008 3.827
Ho -2.977 -0.171 -4.670
Ho -3.821 -0.178 -0.843
Ho -2.206 -2.861 1.514
S -4.546 -2.941 2.971
S -3.716 -2.933 -0.791
S -2.350 -0.107 1.488
S -6.133 -0.304 0.653
S -1.508 -0.052 -2.339
S -5.292 -0.250 -3.175
S -3.926 2.576 -0.895
S -3.096 2.584 -4.657

=====

No. 6
18
Lattice="3.837 0.000 0.000 -1.919 8.411 0.000 0.000 0.000 11.896" Properties=species:S:1:pos:R:3 comment="Sm2HoZnS5 | Alexandria via LeMat-Bulk | PBE | optimized geometry" e_form_raw_kj_per_mol_fu=-1506 crystal_system=orthorhombic pbc="T T T"
Sm 1.919 6.185 9.742
Sm 0.000 1.925 8.135
Sm 0.000 2.227 3.794
Sm 1.919 6.486 2.186
Ho 1.919 5.093 6.138
Ho 0.000 3.319 0.189
Zn 1.919 0.755 11.258
Zn 0.000 7.656 5.310
S 0.000 5.995 0.053
S 1.919 3.078 10.158
S 0.000 8.282 9.174
S 0.000 4.886 8.047
S 1.919 7.756 6.581
S 1.919 2.417 6.001
S 0.000 5.333 4.210
S 1.919 0.129 3.225
S 1.919 3.525 2.099
S 0.000 0.656 0.633